Compound: Ta2MnTe
Source: the Alexandria database
Functional: GGA-PBE
Structure: relaxed

abc: 3.4723 3.4723 6.0306
angles: 90.00 90.00 90.00
Last column: magnetic moment on the atom in μB.
Fractional coordinates of all 4 atoms:
Mn 0.5000 0.5000 0.7707  3.02
Ta 0.5000 0.5000 0.2400  0.14
Ta 0.0000 0.0000 0.9870  -0.34
Te 0.0000 0.0000 0.5023  0.01

Computed properties:
As for the crystal system: tetragonal. The calculation puts the density of states at the Fermi level at 0.853 states/eV per atom.



Compound: CeSmO
Source: the Alexandria database
Functional: GGA-PBE
Structure: relaxed

abc: 3.6413 3.6413 5.9319
angles: 90.00 90.00 120.00
Last column: magnetic moment on the atom in μB.
Fractional coordinates of all 3 atoms:
Ce 0.0000 0.0000 0.1097  0.64
O 0.6667 0.3333 0.3253  -0.01
Sm 0.3333 0.6667 0.5649  -0.02

Computed properties:
As for the crystal system: trigonal. The calculation puts the density of states at the Fermi level at 1.650 states/eV per atom.



Number 1: raw formation energy 111.1 meV/atom, total moment 2.89 μB per cell, DFT total energy -8.893 eV per atom. Number 2: raw formation energy -1682.2 meV/atom, total moment 0.86 μB per cell, DFT total energy -6.886 eV per atom.